No. 1
PBE+U Ca2FeOsO6, optimized geometry; DFT total energy = -140.629 eV for the cell shown
1.0
5.4398 0.0000 0.0000
0.0000 5.5901 0.0000
-5.4402 0.0000 7.7602
Ca Fe Os O
4 2 2 12
direct
0.2370 0.0524 0.2494 Ca
0.2370 0.4476 0.7494 Ca
0.7630 0.5524 0.2506 Ca
0.7630 0.9476 0.7506 Ca
0.0000 0.0000 0.5000 Fe
0.0000 0.5000 0.0000 Fe
0.5000 0.0000 0.0000 Os
0.5000 0.5000 0.5000 Os
0.1597 0.2017 0.9539 O
0.1597 0.2983 0.4539 O
0.2545 0.7083 0.9527 O
0.2545 0.7917 0.4527 O
0.3420 0.0261 0.7528 O
0.3420 0.4739 0.2528 O
0.6580 0.5261 0.7472 O
0.6580 0.9739 0.2472 O
0.7455 0.2083 0.5473 O
0.7455 0.2917 0.0473 O
0.8403 0.7017 0.5461 O
0.8403 0.7983 0.0461 O

No. 2
PBE+U Ca2FeOsO6, optimized geometry; DFT total energy = -69.138 eV for the cell shown
1.0
5.6164 0.0000 0.0000
0.0000 5.6164 0.0000
0.0000 0.0000 3.8475
Ca Fe Os O
2 1 1 6
direct
0.0000 0.5000 0.0000 Ca
0.5000 0.0000 0.0000 Ca
0.0000 0.0000 0.5422 Fe
0.5000 0.5000 0.5553 Os
0.0000 0.0000 0.0485 O
0.2538 0.2538 0.5653 O
0.2538 0.7462 0.5653 O
0.5000 0.5000 0.0571 O
0.7462 0.2538 0.5653 O
0.7462 0.7462 0.5653 O

No. 3
PBE+U CaFe2P2O9, optimized geometry; DFT total energy = -398.295 eV for the cell shown
1.0
14.4130 0.0000 0.0000
0.0000 6.4705 0.0000
0.0000 0.0000 7.4571
Ca Fe P O
4 8 8 36
direct
0.2204 0.2500 0.1031 Ca
0.2796 0.7500 0.6031 Ca
0.7204 0.2500 0.3969 Ca
0.7796 0.7500 0.8969 Ca
0.0000 0.0000 0.0000 Fe
0.0000 0.5000 0.0000 Fe
0.1194 0.2500 0.6467 Fe
0.3806 0.7500 0.1467 Fe
0.5000 0.0000 0.5000 Fe
0.5000 0.5000 0.5000 Fe
0.6194 0.2500 0.8533 Fe
0.8806 0.7500 0.3533 Fe
0.0677 0.7500 0.6357 P
0.1913 0.7500 0.1099 P
0.3087 0.2500 0.6099 P
0.4323 0.2500 0.1357 P
0.5677 0.7500 0.8643 P
0.6913 0.7500 0.3901 P
0.8087 0.2500 0.8901 P
0.9323 0.2500 0.3643 P
0.0072 0.2500 0.5062 O
0.0200 0.7500 0.8254 O
0.0557 0.2500 0.8768 O
0.1298 0.5527 0.1049 O
0.1298 0.9473 0.1049 O
0.1337 0.5618 0.6249 O
0.1337 0.9382 0.6249 O
0.2357 0.2500 0.4557 O
0.2481 0.2500 0.7830 O
0.2519 0.7500 0.2830 O
0.2643 0.7500 0.9557 O
0.3663 0.0618 0.1249 O
0.3663 0.4382 0.1249 O
0.3702 0.0527 0.6049 O
0.3702 0.4473 0.6049 O
0.4443 0.7500 0.3768 O
0.4800 0.2500 0.3254 O
0.4928 0.7500 0.0062 O
0.5072 0.2500 0.9938 O
0.5200 0.7500 0.6746 O
0.5557 0.2500 0.6232 O
0.6298 0.5527 0.3951 O
0.6298 0.9473 0.3951 O
0.6337 0.5618 0.8751 O
0.6337 0.9382 0.8751 O
0.7357 0.2500 0.0443 O
0.7481 0.2500 0.7170 O
0.7519 0.7500 0.2170 O
0.7643 0.7500 0.5443 O
0.8663 0.0618 0.3751 O
0.8663 0.4382 0.3751 O
0.8702 0.0527 0.8951 O
0.8702 0.4473 0.8951 O
0.9443 0.7500 0.1232 O
0.9800 0.2500 0.1746 O
0.9928 0.7500 0.4938 O

No. 4
PBE+U CaFe4P4O16, optimized geometry; DFT total energy = -177.432 eV for the cell shown
1.0
5.2436 0.0000 0.0000
-2.5311 8.3771 0.0000
-0.1528 -0.1350 8.8783
Ca Fe P O
1 4 4 16
direct
0.0000 0.0000 0.0000 Ca
0.0362 0.8140 0.4992 Fe
0.4265 0.6740 0.0073 Fe
0.5739 0.3262 0.9943 Fe
0.9626 0.1869 0.5015 Fe
0.1071 0.3029 0.8309 P
0.3802 0.1737 0.3265 P
0.6182 0.8272 0.6743 P
0.8934 0.6976 0.1701 P
0.0003 0.3261 0.6721 O
0.0008 0.6749 0.3289 O
0.1318 0.7645 0.0622 O
0.1720 0.0237 0.3958 O
0.2683 0.1795 0.8328 O
0.2775 0.3092 0.3929 O
0.2988 0.4592 0.8974 O
0.3304 0.8146 0.6255 O
0.3562 0.1628 0.1532 O
0.6429 0.8371 0.8475 O
0.6678 0.1868 0.3760 O
0.7016 0.5412 0.1040 O
0.7202 0.6918 0.6068 O
0.7323 0.8210 0.1681 O
0.8264 0.9775 0.6055 O
0.8684 0.2358 0.9386 O

No. 5
PBE+U CaFeP2O, optimized geometry; DFT total energy = -24.927 eV for the cell shown
1.0
4.9122 0.0000 0.0000
0.0000 4.9122 0.0000
0.0000 0.0000 3.6855
Ca Fe P O
1 1 2 1
direct
0.0000 0.0000 0.0000 Ca
0.5000 0.5000 0.5000 Fe
0.0000 0.5000 0.5000 P
0.5000 0.0000 0.5000 P
0.5000 0.5000 0.0000 O

No. 6
PBE+U CaFeP2O, optimized geometry; DFT total energy = -19.919 eV for the cell shown
1.0
5.2681 0.0000 0.0000
0.0000 5.2681 0.0000
0.0000 0.0000 4.1924
Ca Fe P O
1 1 2 1
direct
0.0000 0.0000 0.0000 Ca
0.5000 0.5000 0.5000 Fe
0.0000 0.5000 0.0000 P
0.5000 0.0000 0.0000 P
0.0000 0.0000 0.5000 O

No. 7
PBE+U CaFeP2O7, optimized geometry; DFT total energy = -158.914 eV for the cell shown
1.0
6.0022 0.0000 0.0000
2.2277 6.2398 0.0000
0.3629 1.0041 7.5219
Ca Fe P O
2 2 4 14
direct
0.1879 0.3334 0.3326 Ca
0.8121 0.6666 0.6674 Ca
0.2396 0.8655 0.8012 Fe
0.7604 0.1345 0.1988 Fe
0.2651 0.7926 0.3944 P
0.3362 0.3329 0.8814 P
0.6638 0.6671 0.1186 P
0.7349 0.2074 0.6056 P
0.1179 0.0151 0.2999 O
0.1188 0.6472 0.4540 O
0.1654 0.5682 0.8464 O
0.2336 0.1699 0.8281 O
0.4156 0.8113 0.5459 O
0.4282 0.2807 0.0733 O
0.4370 0.6655 0.2454 O
0.5630 0.3345 0.7546 O
0.5718 0.7193 0.9267 O
0.5844 0.1887 0.4541 O
0.7664 0.8301 0.1719 O
0.8346 0.4318 0.1536 O
0.8812 0.3528 0.5460 O
0.8821 0.9849 0.7001 O

No. 8
PBE+U CaFe4P4O16, optimized geometry; DFT total energy = -177.976 eV for the cell shown
1.0
5.5084 0.0000 0.0000
-2.0131 8.4411 0.0000
-0.5036 -0.4638 8.8599
Ca Fe P O
1 4 4 16
direct
0.0000 0.0000 0.0000 Ca
0.2928 0.6907 0.0196 Fe
0.3454 0.2289 0.4921 Fe
0.7061 0.7909 0.5204 Fe
0.7145 0.3145 0.0075 Fe
0.2023 0.3220 0.1621 P
0.2089 0.8479 0.3434 P
0.7569 0.6754 0.8510 P
0.8438 0.1722 0.6691 P
0.0390 0.7611 0.8650 O
0.1148 0.2540 0.6351 O
0.1803 0.4776 0.0931 O
0.1812 0.8509 0.1696 O
0.2689 0.0190 0.4133 O
0.3236 0.3551 0.3258 O
0.3541 0.2271 0.0665 O
0.4208 0.7648 0.3860 O
0.6253 0.7898 0.9414 O
0.6549 0.6576 0.6828 O
0.6628 0.2642 0.5963 O
0.6978 0.5132 0.9177 O
0.7834 0.9989 0.6035 O
0.8247 0.1690 0.8415 O
0.9310 0.2129 0.1574 O
0.9626 0.7532 0.4027 O

No. 9
PBE+U CaFeP4O12, optimized geometry; DFT total energy = -260.149 eV for the cell shown
1.0
6.2338 -4.4099 0.0000
6.2338 4.4099 0.0000
-4.8954 0.0000 8.8959
Ca Fe P O
2 2 8 24
direct
0.0476 0.9524 0.7500 Ca
0.9524 0.0476 0.2500 Ca
0.0000 0.5000 0.5000 Fe
0.5000 0.0000 0.0000 Fe
0.2751 0.7191 0.0283 P
0.2809 0.7249 0.4717 P
0.3046 0.3158 0.8051 P
0.3158 0.3046 0.3051 P
0.6842 0.6954 0.6949 P
0.6954 0.6842 0.1949 P
0.7191 0.2751 0.5283 P
0.7249 0.2809 0.9717 P
0.1044 0.8232 0.0844 O
0.1374 0.2867 0.3264 O
0.1768 0.8956 0.4156 O
0.1873 0.3588 0.6605 O
0.2027 0.6887 0.5730 O
0.2572 0.4947 0.9462 O
0.2867 0.1374 0.8264 O
0.2993 0.5310 0.3299 O
0.3113 0.7973 0.9270 O
0.3588 0.1873 0.1605 O
0.4690 0.7007 0.1701 O
0.4947 0.2572 0.4462 O
0.5053 0.7428 0.5538 O
0.5310 0.2993 0.8299 O
0.6412 0.8127 0.8395 O
0.6887 0.2027 0.0730 O
0.7007 0.4690 0.6701 O
0.7133 0.8626 0.1736 O
0.7428 0.5053 0.0538 O
0.7973 0.3113 0.4270 O
0.8127 0.6412 0.3395 O
0.8232 0.1044 0.5844 O
0.8626 0.7133 0.6736 O
0.8956 0.1768 0.9156 O

No. 10
PBE+U CaVFeP4O14, optimized geometry; DFT total energy = -153.590 eV for the cell shown
1.0
4.9919 0.0000 0.0000
1.9409 6.7793 0.0000
0.0223 0.1531 8.3793
Ca V Fe P O
1 1 1 4 14
direct
0.0000 0.0000 0.0000 Ca
0.4761 0.8865 0.6121 V
0.8926 0.4502 0.1300 Fe
0.0634 0.6490 0.7957 P
0.3113 0.6569 0.3105 P
0.4396 0.2677 0.8858 P
0.9319 0.0533 0.3870 P
0.1060 0.8782 0.2647 O
0.1261 0.0763 0.5200 O
0.1359 0.5133 0.2886 O
0.2316 0.2430 0.0161 O
0.2318 0.8041 0.7864 O
0.2716 0.4350 0.7622 O
0.4044 0.6655 0.4805 O
0.5388 0.6376 0.1835 O
0.5515 0.0757 0.7956 O
0.6794 0.9905 0.4422 O
0.6898 0.3252 0.9538 O
0.8284 0.6808 0.6772 O
0.8505 0.2198 0.2612 O
0.9660 0.6563 0.9719 O

No. 11
PBE+U CaVFeP4O14, optimized geometry; DFT total energy = -152.865 eV for the cell shown
1.0
4.9610 0.0000 0.0000
1.8522 6.8350 0.0000
0.5959 0.6542 8.6580
Ca V Fe P O
1 1 1 4 14
direct
0.0000 0.0000 0.0000 Ca
0.8606 0.2792 0.3902 V
0.4724 0.6561 0.8443 Fe
0.0158 0.4940 0.0710 P
0.2559 0.4871 0.5607 P
0.4356 0.1234 0.1753 P
0.9287 0.8749 0.6305 P
0.0160 0.3883 0.5467 O
0.1057 0.9151 0.7548 O
0.1257 0.7205 0.5179 O
0.1532 0.6631 0.0285 O
0.2398 0.1134 0.3159 O
0.2639 0.2938 0.0525 O
0.3574 0.4573 0.7225 O
0.4823 0.4295 0.4313 O
0.5033 0.9505 0.0734 O
0.6856 0.7983 0.6952 O
0.7141 0.1673 0.2083 O
0.7983 0.4756 0.9643 O
0.8280 0.0598 0.5183 O
0.9201 0.4871 0.2439 O

No. 12
PBE+U CaVFeP4O14, optimized geometry; DFT total energy = -153.797 eV for the cell shown
1.0
4.9080 0.0000 0.0000
2.1006 6.8752 0.0000
0.0513 0.0084 8.1800
Ca V Fe P O
1 1 1 4 14
direct
0.0000 0.0000 0.0000 Ca
0.0073 0.0080 0.5699 V
0.5656 0.4783 0.0838 Fe
0.0160 0.6205 0.8419 P
0.1768 0.2495 0.2750 P
0.4057 0.2356 0.7675 P
0.5611 0.8538 0.3393 P
0.0678 0.2369 0.4460 O
0.1886 0.6502 0.9942 O
0.1984 0.1089 0.7723 O
0.2226 0.4570 0.7283 O
0.3577 0.0248 0.2186 O
0.3679 0.3796 0.2596 O
0.3873 0.8412 0.4919 O
0.5393 0.2340 0.9387 O
0.6246 0.1811 0.6325 O
0.6287 0.6794 0.2259 O
0.7560 0.5588 0.8887 O
0.8280 0.9167 0.3713 O
0.9402 0.8133 0.7487 O
0.9453 0.2850 0.1414 O